1.
Density functional theory data (PBE) for a geometry-optimized ZrAlAs2 structure.

Computed properties:
Size of the total moment in μB/cell: 1.2
Theoretical density in Mg/m³: 4.28
Calculated formation energy in eV/atom: -0.330
Uncorrected energy in eV per cell: -45.82

Lattice parameters (Å, degrees): 6.1135 6.1135 7.0417 64.27 64.27 90.00
Last column: nearest neighbours and their distance in Å.
Sites, in units of the cell vectors:
As: 0.6012 0.1250 0.2500  2 Al 2.49, 2 Zr 2.66
As: 0.1488 0.6250 0.2500  2 Al 2.49, 2 Zr 2.66
As: 0.3750 0.3988 0.7500  2 Al 2.49, 2 Zr 2.66
As: 0.8750 0.8512 0.7500  2 Al 2.49, 2 Zr 2.66
Al: 0.5000 0.5000 0.0000  4 As 2.49
Al: 0.2500 0.7500 0.5000  4 As 2.49
Zr: 0.0000 0.0000 0.0000  4 As 2.66
Zr: 0.7500 0.2500 0.5000  4 As 2.66

2.
Density functional theory data (PBE) for a geometry-optimized FePb structure.

Computed properties:
Size of the total moment in μB/cell: 0.0
Theoretical density in Mg/m³: 8.70
Calculated formation energy in eV/atom: 0.675
Uncorrected energy in eV per cell: -86.56

Lattice parameters (Å, degrees): 10.3396 10.3396 3.7553 90.00 90.00 90.00
Last column: nearest neighbours and their distance in Å.
Sites, in units of the cell vectors:
Fe: 0.2804 0.7833 0.0000  2 Fe 2.10
Fe: 0.7196 0.2167 0.0000  2 Fe 2.10
Fe: 0.2167 0.2804 0.0000  2 Fe 2.10
Fe: 0.7833 0.7196 0.0000  2 Fe 2.10
Fe: 0.7804 0.2833 0.5000  2 Fe 2.10
Fe: 0.2196 0.7167 0.5000  2 Fe 2.10
Fe: 0.7167 0.7804 0.5000  2 Fe 2.10
Fe: 0.2833 0.2196 0.5000  2 Fe 2.10
Pb: 0.4748 0.2235 0.0000  4 Fe 2.53-2.73
Pb: 0.5252 0.7765 0.0000  4 Fe 2.53-2.73
Pb: 0.7765 0.4748 0.0000  4 Fe 2.53-2.73
Pb: 0.2235 0.5252 0.0000  4 Fe 2.53-2.73
Pb: 0.9748 0.7235 0.5000  4 Fe 2.53-2.73
Pb: 0.0252 0.2765 0.5000  4 Fe 2.53-2.73
Pb: 0.2765 0.9748 0.5000  4 Fe 2.53-2.73
Pb: 0.7235 0.0252 0.5000  4 Fe 2.53-2.73

3.
Density functional theory data (PBE) for a geometry-optimized LaNd2ScSb4 structure.

Computed properties:
Size of the total moment in μB/cell: 0.0
Theoretical density in Mg/m³: 6.31
Uncorrected energy in eV per cell: -46.15

Lattice parameters (Å, degrees): 4.4790 7.7264 7.7434 109.48 90.00 90.00
Last column: nearest neighbours and their distance in Å.
Sites, in units of the cell vectors:
La: 0.5000 0.5000 0.0000  6 Sb 3.18
Nd: 0.5000 0.0000 0.5000  6 Sb 3.14
Nd: 0.0000 0.5000 0.5000  6 Sb 3.26
Sc: 0.0000 0.0000 0.0000  6 Sb 3.06-3.07
Sb: 0.5000 0.2331 0.2360  2 Sc 3.07, 3 Nd 3.14-3.26, 1 La 3.18
Sb: 0.5000 0.7669 0.7640  2 Sc 3.07, 3 Nd 3.14-3.26, 1 La 3.18
Sb: 0.0000 0.2392 0.7547  1 Sc 3.06, 3 Nd 3.14-3.26, 2 La 3.18
Sb: 0.0000 0.7608 0.2453  1 Sc 3.06, 3 Nd 3.14-3.26, 2 La 3.18

4.
Density functional theory data (PBE) for a geometry-optimized AlNiP2 structure.

Computed properties:
Size of the total moment in μB/cell: 0.0
Theoretical density in Mg/m³: 4.51
Calculated formation energy in eV/atom: 0.154
Uncorrected energy in eV per cell: -19.73

Lattice parameters (Å, degrees): 4.4189 4.4189 4.4189 126.19 126.19 79.57
Last column: nearest neighbours and their distance in Å.
Sites, in units of the cell vectors:
Ni: 0.7500 0.2500 0.5000  8 P 2.62, 4 Al 2.83
Al: 0.2500 0.7500 0.5000  8 P 2.62, 4 Ni 2.83
P: 0.0000 0.0000 0.0000  4 Ni 2.62, 4 Al 2.62, 4 P 2.83
P: 0.5000 0.5000 0.0000  4 Ni 2.62, 4 Al 2.62, 4 P 2.83

5.
Density functional theory data (PBE) for a geometry-optimized CsTl2ZnF5 structure.

Computed properties:
Size of the total moment in μB/cell: 0.0
Theoretical density in Mg/m³: 6.15
Uncorrected energy in eV per cell: -71.50

Lattice parameters (Å, degrees): 7.7024 7.7024 8.3929 117.31 117.31 90.00
Last column: nearest neighbours and their distance in Å.
Sites, in units of the cell vectors:
Cs: 0.2500 0.2500 0.5000  10 F 3.19-3.20
Cs: 0.7500 0.7500 0.5000  10 F 3.19-3.20
Tl: 0.1926 0.3074 0.0000  4 F 2.71-2.79
Tl: 0.6926 0.1926 0.0000  4 F 2.71-2.79
Tl: 0.3074 0.8074 0.0000  4 F 2.71-2.79
Tl: 0.8074 0.6926 0.0000  4 F 2.71-2.79
Zn: 0.2500 0.7500 0.5000  4 F 1.93
Zn: 0.7500 0.2500 0.5000  4 F 1.93
F: 0.0168 0.5168 0.3136  1 Zn 1.93
F: 0.7032 0.2032 0.6864  1 Zn 1.93
F: 0.9832 0.4832 0.6864  1 Zn 1.93
F: 0.2032 0.9832 0.6864  1 Zn 1.93
F: 0.4832 0.7032 0.6864  1 Zn 1.93
F: 0.7968 0.0168 0.3136  1 Zn 1.93
F: 0.5168 0.2968 0.3136  1 Zn 1.93
F: 0.2968 0.7968 0.3136  1 Zn 1.93
F: 0.5000 0.5000 0.0000  4 Tl 2.79
F: 0.0000 0.0000 0.0000  4 Tl 2.79

6.
Density functional theory data (PBE) for a geometry-optimized NpCuRu2 structure.

Computed properties:
Size of the total moment in μB/cell: 2.2
Theoretical density in Mg/m³: 13.12
Energy relative to the lowest polymorph listed for this composition in eV per formula unit: 0.39
Calculated formation energy in eV/atom: 0.041
Uncorrected energy in eV per cell: -35.43

Lattice parameters (Å, degrees): 4.4809 4.4809 4.4809 60.00 60.00 60.00
Last column: nearest neighbours and their distance in Å.
Sites, in units of the cell vectors:
Np: 0.5000 0.5000 0.5000  8 Ru 2.74
Ru: 0.2500 0.2500 0.2500  4 Cu 2.74, 4 Np 2.74
Ru: 0.7500 0.7500 0.7500  4 Np 2.74, 4 Cu 2.74
Cu: 0.0000 0.0000 0.0000  8 Ru 2.74

7.
Density functional theory data (PBE) for a geometry-optimized TlCd8Hg4 structure.

Computed properties:
Size of the total moment in μB/cell: 0.0
Theoretical density in Mg/m³: 9.78
Calculated formation energy in eV/atom: 0.038
Uncorrected energy in eV per cell: -10.39

Lattice parameters (Å, degrees): 5.1323 5.2934 13.4535 99.18 76.37 70.65
Last column: nearest neighbours and their distance in Å.
Sites, in units of the cell vectors:
Tl: 0.0000 0.0000 0.0000  6 Cd 3.13-3.19, 2 Hg 3.41
Cd: 0.3282 0.9109 0.3219  5 Cd 3.01-3.16, 3 Hg 3.11-3.28
Cd: 0.6718 0.0891 0.6781  5 Cd 3.01-3.16, 3 Hg 3.11-3.28
Cd: 0.5443 0.7396 0.0790  3 Hg 3.04-3.14, 2 Cd 3.07-3.26, 2 Tl 3.15-3.19
Cd: 0.4557 0.2604 0.9210  3 Hg 3.04-3.14, 2 Cd 3.07-3.26, 2 Tl 3.15-3.19
Cd: 0.0197 0.4412 0.6068  4 Hg 3.02-3.18, 4 Cd 3.07-3.20
Cd: 0.9803 0.5588 0.3932  4 Hg 3.02-3.18, 4 Cd 3.07-3.20
Cd: 0.6360 0.2663 0.2394  3 Cd 3.01-3.20, 3 Hg 3.04-3.25, 1 Tl 3.13
Cd: 0.3640 0.7337 0.7606  3 Cd 3.01-3.20, 3 Hg 3.04-3.25, 1 Tl 3.13
Hg: 0.3265 0.8177 0.5451  7 Cd 3.02-3.28, 2 Hg 3.11-3.22
Hg: 0.6735 0.1823 0.4549  7 Cd 3.02-3.28, 2 Hg 3.11-3.22
Hg: 0.9226 0.4787 0.8403  6 Cd 3.03-3.25
Hg: 0.0774 0.5213 0.1597  6 Cd 3.03-3.25

8.
Density functional theory data (PBE) for a geometry-optimized Ba4LaY structure.

Computed properties:
Size of the total moment in μB/cell: 0.0
Theoretical density in Mg/m³: 4.31
Calculated formation energy in eV/atom: 0.471
Uncorrected energy in eV per cell: -16.26

Lattice parameters (Å, degrees): 7.5087 7.5087 7.5087 60.00 60.00 60.00
Last column: nearest neighbours and their distance in Å.
Sites, in units of the cell vectors:
Ba: 0.8756 0.3748 0.3748  6 Ba 3.75-3.76
Ba: 0.3748 0.3748 0.8756  6 Ba 3.75-3.76
Ba: 0.3748 0.8756 0.3748  6 Ba 3.75-3.76
Ba: 0.3748 0.3748 0.3748  6 Ba 3.75-3.76
La: 0.7500 0.7500 0.7500  12 Ba 4.40, 4 Y 4.60
Y: 0.0000 0.0000 0.0000  12 Ba 4.40, 4 La 4.60

9.
Density functional theory data (PBE) for a geometry-optimized ZrIn2W structure.

Computed properties:
Size of the total moment in μB/cell: 0.0
Theoretical density in Mg/m³: 10.26
Energy relative to the lowest polymorph listed for this composition in eV per formula unit: 0.98
Calculated formation energy in eV/atom: 0.454
Uncorrected energy in eV per cell: -25.16

Lattice parameters (Å, degrees): 4.8708 4.8708 4.8708 60.00 60.00 60.00
Last column: nearest neighbours and their distance in Å.
Sites, in units of the cell vectors:
In: 0.0000 0.0000 0.0000  4 Zr 2.98, 4 In 2.98
In: 0.7500 0.7500 0.7500  4 W 2.98, 4 In 2.98
W: 0.5000 0.5000 0.5000  4 In 2.98, 4 Zr 2.98
Zr: 0.2500 0.2500 0.2500  4 In 2.98, 4 W 2.98

10.
Density functional theory data (PBE) for a geometry-optimized NdCdTe structure.

Computed properties:
Size of the total moment in μB/cell: 0.0
Theoretical density in Mg/m³: 6.65
Uncorrected energy in eV per cell: -22.64

Lattice parameters (Å, degrees): 5.0811 5.0811 9.0688 73.73 73.73 60.00
Last column: nearest neighbours and their distance in Å.
Sites, in units of the cell vectors:
Te: 0.2874 0.2874 0.1377  1 Cd 3.08, 3 Nd 3.14
Te: 0.7126 0.7126 0.8623  1 Cd 3.08, 3 Nd 3.14
Cd: 0.1679 0.1679 0.4962  3 Cd 2.93, 1 Te 3.08
Cd: 0.8321 0.8321 0.5038  3 Cd 2.93, 1 Te 3.08
Nd: 0.4227 0.4227 0.7318  4 Te 3.14-3.48
Nd: 0.5773 0.5773 0.2682  4 Te 3.14-3.48

Please write out number 2 again, unchanged.
Density functional theory data (PBE) for a geometry-optimized FePb structure.

Computed properties:
Size of the total moment in μB/cell: 0.0
Theoretical density in Mg/m³: 8.70
Calculated formation energy in eV/atom: 0.675
Uncorrected energy in eV per cell: -86.56

Lattice parameters (Å, degrees): 10.3396 10.3396 3.7553 90.00 90.00 90.00
Last column: nearest neighbours and their distance in Å.
Sites, in units of the cell vectors:
Fe: 0.2804 0.7833 0.0000  2 Fe 2.10
Fe: 0.7196 0.2167 0.0000  2 Fe 2.10
Fe: 0.2167 0.2804 0.0000  2 Fe 2.10
Fe: 0.7833 0.7196 0.0000  2 Fe 2.10
Fe: 0.7804 0.2833 0.5000  2 Fe 2.10
Fe: 0.2196 0.7167 0.5000  2 Fe 2.10
Fe: 0.7167 0.7804 0.5000  2 Fe 2.10
Fe: 0.2833 0.2196 0.5000  2 Fe 2.10
Pb: 0.4748 0.2235 0.0000  4 Fe 2.53-2.73
Pb: 0.5252 0.7765 0.0000  4 Fe 2.53-2.73
Pb: 0.7765 0.4748 0.0000  4 Fe 2.53-2.73
Pb: 0.2235 0.5252 0.0000  4 Fe 2.53-2.73
Pb: 0.9748 0.7235 0.5000  4 Fe 2.53-2.73
Pb: 0.0252 0.2765 0.5000  4 Fe 2.53-2.73
Pb: 0.2765 0.9748 0.5000  4 Fe 2.53-2.73
Pb: 0.7235 0.0252 0.5000  4 Fe 2.53-2.73